w:
Below is a relaxed structure of Pm4Sm3Tm2, with properties calculated at the PBE level.

Cell: 15.3218 5.1021 8.0508 Å, 90.00 108.54 90.00°
Last column: nearest neighbours and their distance in Å.
Space group C2/m (No. 12)
Symmetry-distinct sites (fractional):
Pm  0.0549  0.0000  0.3308 (multiplicity 4)  6 Sm 3.59-3.63, 2 Tm 3.60-3.61, 4 Pm 3.62-3.63
Pm  0.2221  0.5000  0.3304 (multiplicity 4)  3 Tm 3.57-3.59, 4 Sm 3.59-3.63, 5 Pm 3.62-3.63
Sm  0.0000  0.5000  0.0000 (multiplicity 2)  6 Pm 3.59, 2 Sm 3.60, 4 Tm 3.62
Sm  0.1116  0.5000  0.6683 (multiplicity 4)  3 Tm 3.58-3.59, 2 Sm 3.60-3.63, 7 Pm 3.60-3.63
Tm  0.1679  0.0000  0.9997 (multiplicity 4)  5 Pm 3.57-3.61, 5 Sm 3.58-3.62, 2 Tm 3.58

Crystal system: monoclinic
Volume: 33.15 Å³ per atom

---

x:
Below is a relaxed structure of Pm4Sm3Tm2, with properties calculated at the PBE level.

Cell: 16.7713 11.7232 6.0975 Å, 90.00 96.98 90.00°
Last column: nearest neighbours and their distance in Å.
Space group C2/c (No. 15)
Symmetry-distinct sites (fractional):
Pm  0.0641  0.1142  0.0481 (multiplicity 8)  4 Sm 3.40-3.56, 3 Pm 3.44-3.51, 1 Tm 3.63
Pm  0.2252  0.3877  0.8866 (multiplicity 8)  2 Tm 3.31-3.45, 4 Sm 3.42-3.56, 2 Pm 3.51-3.57
Sm  0.0000  0.3487  0.7500 (multiplicity 4)  4 Pm 3.40-3.80, 6 Tm 3.45-3.61
Sm  0.1695  0.1503  0.5810 (multiplicity 8)  7 Pm 3.42-3.56, 1 Tm 3.44, 1 Sm 3.79
Tm  0.1017  0.3924  0.2991 (multiplicity 8)  3 Pm 3.31-3.63, 1 Tm 3.39, 4 Sm 3.44-3.61

Crystal system: monoclinic
Volume: 33.05 Å³ per atom

---

So which one is most stable? That would be w, about 71 meV/atom below the next structure.

---

w:
Below is a relaxed structure of Pm6Sm2Tm, with properties calculated at the PBE level.

Cell: 17.7288 10.2673 3.4746 Å, 90.00 100.79 90.00°
Last column: nearest neighbours and their distance in Å.
Space group C2/m (No. 12)
Symmetry-distinct sites (fractional):
Pm  0.0000  0.1924  0.0000 (multiplicity 4)  6 Pm 3.47-3.60, 2 Sm 3.51, 2 Tm 3.60
Pm  0.1662  0.3119  0.6658 (multiplicity 8)  7 Pm 3.47-3.86, 1 Tm 3.48, 3 Sm 3.49-3.64
Sm  0.1667  0.0000  0.1661 (multiplicity 4)  2 Sm 3.47, 8 Pm 3.49-3.64
Tm  0.0000  0.5000  0.5000 (multiplicity 2)  2 Tm 3.47, 8 Pm 3.48-3.60

Crystal system: monoclinic
Volume: 34.52 Å³ per atom

---

x:
Below is a relaxed structure of Pm6Sm2Tm, with properties calculated at the PBE level.

Cell: 16.9633 11.8038 6.0856 Å, 90.00 97.08 90.00°
Last column: nearest neighbours and their distance in Å.
Space group C2/c (No. 15)
Symmetry-distinct sites (fractional):
Pm  0.0623  0.1104  0.0438 (multiplicity 8)  4 Pm 3.36-3.66, 1 Tm 3.46, 3 Sm 3.51-3.56
Pm  0.1031  0.3912  0.2864 (multiplicity 8)  4 Pm 3.36-3.66, 1 Sm 3.43, 3 Tm 3.49-3.54
Pm  0.2297  0.3904  0.8782 (multiplicity 8)  4 Pm 3.36-3.66, 4 Sm 3.43-3.58
Sm  0.1649  0.1535  0.5832 (multiplicity 8)  8 Pm 3.43-3.58
Tm  0.0000  0.3523  0.7500 (multiplicity 4)  8 Pm 3.46-3.54

Crystal system: monoclinic
Volume: 33.59 Å³ per atom

---

So which one is most stable? That would be x, about 98 meV/atom below the next structure.